# Li2CuAs

A relaxed structure of Li2CuAs (PBE-GGA, Alexandria).

Calculated values
The crystal system is tetragonal. The value obtained for the total DFT energy (no corrections) is -0.248 Ry/atom. The formation energy comes out at -0.225 eV/atom. Its density is 4.35 g cm⁻³.

Cell lengths 2.9212, 2.9212, 6.8128 Å; angles 90.00, 90.00, 90.00 degrees
Fractional coordinates of all 4 atoms:
1 Li 0.0000 0.0000 0.2437
2 Li 0.0000 0.0000 0.7563
3 Cu 0.5000 0.5000 0.0000
4 As 0.5000 0.5000 0.5000